{
  "formula": "YSiOF2",
  "functional": "PBE",
  "state": "relaxed",
  "crystal_system": "tetragonal",
  "total_energy_ev_per_atom": -6.228,
  "raw_formation_energy_kj_per_mol_atoms": -204,
  "polymorph_energy_mev_per_atom": 0,
  "space_group": "P4/mmm (123)",
  "cell": [[4.3773, 0.0000, 0.0000], [0.0000, 4.3773, 0.0000], [0.0000, 0.0000, 4.4840]],
  "species": ["Y", "Si", "O", "F", "F"],
  "frac_coords": [[0.0000, 0.0000, 0.0000], [0.5000, 0.5000, 0.5000], [0.0000, 0.0000, 0.5000], [0.0000, 0.5000, 0.0000], [0.5000, 0.0000, 0.0000]]
}